ZnAgSb2: relaxed, PBEsol.

Lattice parameters (Å, degrees): 4.083 4.083 5.928 110.15 110.15 90.00
Positions (direct):
Ag 0.250 0.750 0.500
Sb 0.000 0.000 0.000
Sb 0.750 0.250 0.500
Zn 0.500 0.500 0.000

Properties
- raw formation energy (kcal/mol of atoms) = 4.71


ZrAgSb: relaxed, PBEsol.

Lattice parameters (Å, degrees): 4.623 4.623 4.623 60.00 60.00 60.00
Positions (direct):
Ag 0.500 0.500 0.500
Sb 0.750 0.750 0.750
Zr 0.000 0.000 0.000

Properties
- raw formation energy (kcal/mol of atoms) = 0.22


ZrAgSb4: relaxed, PBEsol.

Lattice parameters (Å, degrees): 6.001 6.001 6.001 60.00 60.00 60.00
Positions (direct):
Ag 0.000 0.000 0.000
Sb 0.375 0.375 0.375
Sb 0.375 0.375 0.875
Sb 0.875 0.375 0.375
Sb 0.375 0.875 0.375
Zr 0.750 0.750 0.750

Properties
- raw formation energy (kcal/mol of atoms) = 9.80


ZrAgSb: relaxed, PBEsol.

Lattice parameters (Å, degrees): 3.413 3.413 5.891 103.73 103.73 100.43
Positions (direct):
Ag 0.001 0.001 0.001
Sb 0.662 0.662 0.324
Zr 0.338 0.338 0.675

Properties
- raw formation energy (kcal/mol of atoms) = -4.03


Sc5Ag3: relaxed, PBEsol.

Lattice parameters (Å, degrees): 5.496 8.303 8.303 120.00 90.00 90.00
Positions (direct):
Ag 0.250 0.000 0.403
Ag 0.750 0.000 0.597
Ag 0.250 0.597 0.597
Ag 0.750 0.597 0.000
Ag 0.750 0.403 0.403
Ag 0.250 0.403 0.000
Sc 0.750 0.000 0.237
Sc 0.250 0.000 0.763
Sc 0.750 0.763 0.763
Sc 0.250 0.763 0.000
Sc 0.000 0.667 0.333
Sc 0.500 0.667 0.333
Sc 0.000 0.333 0.667
Sc 0.500 0.333 0.667
Sc 0.250 0.237 0.237
Sc 0.750 0.237 0.000

Properties
- excess energy over the best structure of this formula in the dataset (meV per atom) = 0


ScAg7: relaxed, PBEsol.

Lattice parameters (Å, degrees): 5.782 5.782 5.782 60.00 60.00 60.00
Positions (direct):
Ag 0.500 0.000 0.000
Ag 0.500 0.500 0.000
Ag 0.000 0.500 0.000
Ag 0.500 0.000 0.500
Ag 0.000 0.000 0.500
Ag 0.000 0.500 0.500
Ag 0.500 0.500 0.500
Sc 0.000 0.000 0.000

Properties
- E (eV per atom) = -3.765


Sc3Ag4: relaxed, PBEsol.

Lattice parameters (Å, degrees): 3.494 3.494 11.075 99.07 99.07 90.00
Each line ends with the local moment (μB).
Positions (direct):
Ag 0.137 0.137 0.274  0.00
Ag 0.432 0.432 0.864  0.00
Ag 0.568 0.568 0.136  0.00
Ag 0.863 0.863 0.726  0.00
Sc 0.000 0.000 0.000  -0.01
Sc 0.296 0.296 0.592  0.35
Sc 0.704 0.704 0.408  0.35

Properties
- E (eV per atom) = -4.986


Sc2Ag: relaxed, PBEsol.

Lattice parameters (Å, degrees): 3.332 4.853 7.826 90.00 102.29 90.00
Positions (direct):
Sc 0.086 0.250 0.172
Sc 0.914 0.750 0.828
Sc 0.775 0.250 0.550
Sc 0.225 0.750 0.450
Ag 0.429 0.250 0.858
Ag 0.571 0.750 0.142

Properties
- E (eV per atom) = -5.692


Sc5Ag3: relaxed, PBEsol.

Lattice parameters (Å, degrees): 4.790 5.951 5.951 107.72 90.00 90.00
Positions (direct):
Ag 0.000 0.500 0.500
Ag 0.500 0.776 0.224
Ag 0.500 0.224 0.776
Sc 0.000 0.000 0.000
Sc 0.000 0.500 0.000
Sc 0.000 0.000 0.500
Sc 0.500 0.726 0.726
Sc 0.500 0.274 0.274

Properties
- excess energy over the best structure of this formula in the dataset (meV per atom) = 21


Sc2Ag: relaxed, PBEsol.

Lattice parameters (Å, degrees): 3.160 3.160 7.228 90.00 90.00 120.00
Positions (direct):
Ag 0.000 0.000 0.000
Sc 0.667 0.333 0.679
Sc 0.333 0.667 0.321

Properties
- E (eV per atom) = -5.507


Sc4Ag: relaxed, PBEsol.

Lattice parameters (Å, degrees): 3.386 5.824 6.047 81.34 73.74 73.10
Positions (direct):
Sc 0.422 0.787 0.370
Sc 0.767 0.646 0.819
Sc 0.233 0.354 0.181
Sc 0.578 0.213 0.630
Ag 0.000 0.000 0.000

Properties
- excess energy over the best structure of this formula in the dataset (meV per atom) = 0


Sc2Ag: relaxed, PBEsol.

Lattice parameters (Å, degrees): 8.900 8.900 8.900 60.00 60.00 60.00
Positions (direct):
Ag 0.339 0.984 0.339
Ag 0.984 0.339 0.339
Ag 0.339 0.339 0.984
Ag 0.339 0.339 0.339
Ag 0.911 0.266 0.911
Ag 0.266 0.911 0.911
Ag 0.911 0.911 0.266
Ag 0.911 0.911 0.911
Sc 0.125 0.125 0.125
Sc 0.125 0.125 0.625
Sc 0.625 0.125 0.125
Sc 0.125 0.625 0.125
Sc 0.934 0.934 0.566
Sc 0.566 0.934 0.934
Sc 0.566 0.934 0.566
Sc 0.934 0.566 0.934
Sc 0.934 0.566 0.566
Sc 0.566 0.566 0.934
Sc 0.316 0.316 0.684
Sc 0.684 0.316 0.316
Sc 0.684 0.316 0.684
Sc 0.316 0.684 0.316
Sc 0.316 0.684 0.684
Sc 0.684 0.684 0.316

Properties
- E (eV per atom) = -5.721


Sc5Ag3: relaxed, PBEsol.

Lattice parameters (Å, degrees): 5.485 8.216 8.216 83.60 70.50 70.50
Positions (direct):
Ag 0.164 0.500 0.172
Ag 0.250 0.000 0.000
Ag 0.664 0.172 0.500
Ag 0.336 0.828 0.500
Ag 0.750 0.000 0.000
Ag 0.836 0.500 0.828
Sc 0.717 0.863 0.703
Sc 0.420 0.297 0.863
Sc 0.750 0.500 0.500
Sc 0.920 0.863 0.297
Sc 0.217 0.703 0.863
Sc 0.783 0.297 0.137
Sc 0.080 0.137 0.703
Sc 0.250 0.500 0.500
Sc 0.580 0.703 0.137
Sc 0.283 0.137 0.297

Properties
- excess energy over the best structure of this formula in the dataset (meV per atom) = 21


Sc5Ag4: relaxed, PBEsol.

Lattice parameters (Å, degrees): 5.820 8.461 8.461 120.00 90.00 90.00
Positions (direct):
Ag 0.000 0.000 0.000
Ag 0.500 0.000 0.000
Ag 0.750 0.000 0.382
Ag 0.750 0.382 0.000
Ag 0.750 0.618 0.618
Ag 0.250 0.000 0.618
Ag 0.250 0.618 0.000
Ag 0.250 0.382 0.382
Sc 0.750 0.000 0.707
Sc 0.750 0.707 0.000
Sc 0.750 0.293 0.293
Sc 0.250 0.000 0.293
Sc 0.250 0.293 0.000
Sc 0.250 0.707 0.707
Sc 0.000 0.333 0.667
Sc 0.500 0.667 0.333
Sc 0.000 0.667 0.333
Sc 0.500 0.333 0.667

Properties
- E (eV per atom) = -5.323


Sc4Ag: relaxed, PBEsol.

Lattice parameters (Å, degrees): 3.205 3.205 10.880 98.47 98.47 90.00
Positions (direct):
Sc 0.588 0.588 0.176
Sc 0.197 0.197 0.394
Sc 0.803 0.803 0.606
Sc 0.412 0.412 0.824
Ag 0.000 0.000 0.000

Properties
- excess energy over the best structure of this formula in the dataset (meV per atom) = 10


Sc3Ag5: relaxed, PBEsol.

Lattice parameters (Å, degrees): 4.679 5.770 5.770 108.16 90.00 90.00
Positions (direct):
Ag 0.000 0.000 0.000
Ag 0.000 0.500 0.000
Ag 0.000 0.000 0.500
Ag 0.500 0.722 0.722
Ag 0.500 0.278 0.278
Sc 0.000 0.500 0.500
Sc 0.500 0.772 0.228
Sc 0.500 0.228 0.772

Properties
- E (eV per atom) = -4.761


Sc5Ag24: relaxed, PBEsol.

Lattice parameters (Å, degrees): 8.710 8.710 8.710 109.47 109.47 109.47
Positions (direct):
Ag 0.190 0.190 0.815
Ag 0.375 0.375 0.185
Ag 0.625 0.810 0.000
Ag 0.810 0.625 0.000
Ag 0.000 0.810 0.625
Ag 0.000 0.625 0.810
Ag 0.185 0.375 0.375
Ag 0.815 0.190 0.190
Ag 0.810 0.000 0.625
Ag 0.625 0.000 0.810
Ag 0.190 0.815 0.190
Ag 0.375 0.185 0.375
Ag 0.681 0.681 0.275
Ag 0.405 0.405 0.725
Ag 0.595 0.319 0.000
Ag 0.319 0.595 0.000
Ag 0.000 0.319 0.595
Ag 0.000 0.595 0.319
Ag 0.725 0.405 0.405
Ag 0.275 0.681 0.681
Ag 0.319 0.000 0.595
Ag 0.595 0.000 0.319
Ag 0.681 0.275 0.681
Ag 0.405 0.725 0.405
Sc 0.000 0.000 0.370
Sc 0.630 0.630 0.630
Sc 0.370 0.000 0.000
Sc 0.000 0.370 0.000
Sc 0.000 0.000 0.000

Properties
- E (eV per atom) = -3.979


Sc2Ag: relaxed, PBEsol.

Lattice parameters (Å, degrees): 4.572 6.966 6.966 120.00 90.00 90.00
Positions (direct):
Ag 0.500 0.000 0.000
Ag 0.000 0.667 0.333
Ag 0.000 0.333 0.667
Sc 0.000 0.000 0.256
Sc 0.500 0.000 0.587
Sc 0.000 0.744 0.744
Sc 0.000 0.256 0.000
Sc 0.500 0.413 0.413
Sc 0.500 0.587 0.000

Properties
- E (eV per atom) = -5.653


Sc4Ag3: relaxed, PBEsol.

Lattice parameters (Å, degrees): 3.429 3.429 12.208 98.07 98.07 90.00
Each line ends with the local moment (μB).
Positions (direct):
Ag 0.000 0.000 0.000  0.03
Ag 0.282 0.282 0.564  0.00
Ag 0.718 0.718 0.436  0.00
Sc 0.156 0.156 0.312  0.34
Sc 0.430 0.430 0.861  0.40
Sc 0.570 0.570 0.139  0.40
Sc 0.844 0.844 0.688  0.34

Properties
- E (eV per atom) = -5.375


Sc7Ag: relaxed, PBEsol.

Lattice parameters (Å, degrees): 6.310 6.310 6.310 60.00 60.00 60.00
Positions (direct):
Ag 0.000 0.000 0.000
Sc 0.500 0.000 0.000
Sc 0.500 0.500 0.000
Sc 0.000 0.500 0.000
Sc 0.500 0.000 0.500
Sc 0.000 0.000 0.500
Sc 0.000 0.500 0.500
Sc 0.500 0.500 0.500

Properties
- E (eV per atom) = -6.168